1.
First-principles (GGA-PBE) data for an optimized crystal structure of Hf6SbP, as listed in Alexandria via LeMat-Bulk.

Properties
**Energy**: -8.919 eV per atom
**ΔE_f (raw)**: -262 meV per atom

CIF file:
```
data_Hf6SbP
_space_group_name_H-M_alt 'R -3 m'
_space_group_IT_number 166
_space_group_name_Hall '-R 3 2"'
_cell_length_a 9.2202
_cell_length_b 9.2202
_cell_length_c 7.3753
_cell_angle_alpha 90.00
_cell_angle_beta 90.00
_cell_angle_gamma 120.00
loop_
_atom_site_label
_atom_site_fract_x
_atom_site_fract_y
_atom_site_fract_z
Hf1 0.0489 0.5244 0.3060
Sb1 0.0000 0.0000 0.0000
P1 0.0000 0.0000 0.5000
```

---

2.
First-principles (GGA-PBE) data for an optimized crystal structure of Ho3Er2Tl4, as listed in Alexandria via LeMat-Bulk.

Properties
**Energy**: -3.761 eV per atom
**Energy of formation**: -0.169 eV per atom

CIF file:
```
data_Ho3Er2Tl4
_space_group_name_H-M_alt 'C m c e'
_space_group_IT_number 64
_space_group_name_Hall '-C 2ac 2'
_cell_length_a 7.1267
_cell_length_b 15.6245
_cell_length_c 9.4811
_cell_angle_alpha 90.00
_cell_angle_beta 90.00
_cell_angle_gamma 90.00
loop_
_atom_site_label
_atom_site_fract_x
_atom_site_fract_y
_atom_site_fract_z
Ho1 0.0000 0.0000 0.0000
Ho2 0.2500 0.2110 0.2500
Er1 0.0000 0.1087 0.5577
Tl1 0.0000 0.1940 0.9669
Tl2 0.2500 0.0121 0.2500
```

---

3.
First-principles (GGA-PBE) data for an optimized crystal structure of Pr2Si2O7, as listed in Alexandria via LeMat-Bulk.

Properties
**Energy**: -8.174 eV per atom
**ΔE_f (raw)**: -3164 meV per atom

CIF file:
```
data_Pr2Si2O7
_space_group_name_H-M_alt 'P 1 21/c 1'
_space_group_IT_number 14
_cell_length_a 5.5040
_cell_length_b 8.7789
_cell_length_c 14.2302
_cell_angle_alpha 90.00
_cell_angle_beta 112.27
_cell_angle_gamma 90.00
loop_
_space_group_symop_operation_xyz
'x,y,z'
'-x,-y,-z'
'-x,y+1/2,-z+1/2'
'x,-y+1/2,z+1/2'
loop_
_atom_site_label
_atom_site_fract_x
_atom_site_fract_y
_atom_site_fract_z
Pr1 0.0201 0.1878 0.2667
Pr2 0.3311 0.1055 0.5891
Si1 0.2452 0.7470 0.0256
Si2 0.4603 0.5028 0.6793
O1 0.0513 0.7450 0.9063
O2 0.0801 0.6440 0.0807
O3 0.2576 0.0877 0.7605
O4 0.2878 0.5183 0.7520
O5 0.2965 0.5779 0.5678
O6 0.4582 0.6734 0.3297
O7 0.4789 0.1532 0.4502
```

---

4.
First-principles (GGA-PBE) data for an optimized crystal structure of CoCuNi2, as listed in Alexandria via LeMat-Bulk.

Properties
**Energy**: -5.641 eV per atom
**Energy of formation**: 0.050 eV per atom

CIF file:
```
data_CoCuNi2
_space_group_name_H-M_alt 'C 1 2/m 1'
_space_group_IT_number 12
_cell_length_a 8.2777
_cell_length_b 2.4858
_cell_length_c 4.3832
_cell_angle_alpha 90.00
_cell_angle_beta 99.37
_cell_angle_gamma 90.00
loop_
_space_group_symop_operation_xyz
'x,y,z'
'-x,-y,-z'
'-x,y,-z'
'x,-y,z'
'x+1/2,y+1/2,z'
'-x+1/2,-y+1/2,-z'
'-x+1/2,y+1/2,-z'
'x+1/2,-y+1/2,z'
loop_
_atom_site_label
_atom_site_fract_x
_atom_site_fract_y
_atom_site_fract_z
Co1 0.0000 0.0000 0.0000
Cu1 0.0000 0.5000 0.5000
Ni1 0.2482 0.5000 0.2452
```

---

5.
First-principles (GGA-PBE) data for an optimized crystal structure of TbErPd4, as listed in Alexandria via LeMat-Bulk.

Properties
**Energy**: -5.807 eV per atom
**Energy of formation**: -0.813 eV per atom
**ΔE to the lowest computed polymorph**: 0.0 kJ/mol of atoms

CIF file:
```
data_TbErPd4
_space_group_name_H-M_alt 'F -4 3 m'
_space_group_IT_number 216
_space_group_name_Hall 'F -4 2 3'
_cell_length_a 7.6923
_cell_length_b 7.6923
_cell_length_c 7.6923
_cell_angle_alpha 90.00
_cell_angle_beta 90.00
_cell_angle_gamma 90.00
loop_
_atom_site_label
_atom_site_fract_x
_atom_site_fract_y
_atom_site_fract_z
Tb1 0.0000 0.0000 0.0000
Er1 0.2500 0.2500 0.7500
Pd1 0.1249 0.1249 0.3751
```

---

6.
First-principles (GGA-PBE) data for an optimized crystal structure of NaLaEr4Se8, as listed in Alexandria via LeMat-Bulk.

Properties
**Energy**: -5.516 eV per atom
**ΔE_f (raw)**: -1775 meV per atom

CIF file:
```
data_NaLaEr4Se8
_space_group_name_H-M_alt 'R 3 m'
_space_group_IT_number 160
_space_group_name_Hall 'R 3 -2"'
_cell_length_a 8.3968
_cell_length_b 8.3968
_cell_length_c 21.2243
_cell_angle_alpha 90.00
_cell_angle_beta 90.00
_cell_angle_gamma 120.00
loop_
_atom_site_label
_atom_site_fract_x
_atom_site_fract_y
_atom_site_fract_z
Na1 0.0000 0.0000 0.0000
La1 0.0000 0.0000 0.3680
Er1 0.0000 0.0000 0.7450
Er2 0.0133 0.5067 0.8733
Se1 0.0000 0.0000 0.1329
Se2 0.0000 0.0000 0.6134
Se3 0.0122 0.5061 0.1284
Se4 0.1768 0.3537 0.9469
```

---

7.
First-principles (GGA-PBE) data for an optimized crystal structure of Li7MgZn4, as listed in Alexandria via LeMat-Bulk.

Properties
**Energy**: -1.698 eV per atom
**Energy of formation**: -0.024 eV per atom

CIF file:
```
data_Li7MgZn4
_space_group_name_H-M_alt 'C 1 2/m 1'
_space_group_IT_number 12
_cell_length_a 12.5646
_cell_length_b 4.8585
_cell_length_c 7.9603
_cell_angle_alpha 90.00
_cell_angle_beta 120.48
_cell_angle_gamma 90.00
loop_
_space_group_symop_operation_xyz
'x,y,z'
'-x,-y,-z'
'-x,y,-z'
'x,-y,z'
'x+1/2,y+1/2,z'
'-x+1/2,-y+1/2,-z'
'-x+1/2,y+1/2,-z'
'x+1/2,-y+1/2,z'
loop_
_atom_site_label
_atom_site_fract_x
_atom_site_fract_y
_atom_site_fract_z
Li1 0.0000 0.0000 0.0000
Li2 0.0809 0.5000 0.4300
Li3 0.2064 0.5000 0.8828
Li4 0.2416 0.0000 0.6979
Mg1 0.0000 0.5000 0.0000
Zn1 0.0374 0.0000 0.6949
Zn2 0.1777 0.0000 0.3386
```

---

8.
First-principles (GGA-PBE) data for an optimized crystal structure of Na3Tm3VS8, as listed in Alexandria via LeMat-Bulk.

Properties
**Energy**: -5.551 eV per atom
**ΔE_f (raw)**: -1584 meV per atom

CIF file:
```
data_Na3Tm3VS8
_space_group_name_H-M_alt 'R -3 m'
_space_group_IT_number 166
_space_group_name_Hall '-R 3 2"'
_cell_length_a 7.6397
_cell_length_b 7.6397
_cell_length_c 20.3015
_cell_angle_alpha 90.00
_cell_angle_beta 90.00
_cell_angle_gamma 120.00
loop_
_atom_site_label
_atom_site_fract_x
_atom_site_fract_y
_atom_site_fract_z
Na1 0.0000 0.5000 0.0000
Tm1 0.0000 0.5000 0.5000
V1 0.0000 0.0000 0.5000
S1 0.0000 0.0000 0.2421
S2 0.0281 0.5141 0.2360
```

---

9.
First-principles (GGA-PBE) data for an optimized crystal structure of Tb4Tm3Tl, as listed in Alexandria via LeMat-Bulk.

Properties
**Energy**: -4.349 eV per atom
**Energy of formation**: -0.061 eV per atom

CIF file:
```
data_Tb4Tm3Tl
_space_group_name_H-M_alt 'P m n 21'
_space_group_IT_number 31
_cell_length_a 11.1309
_cell_length_b 7.0039
_cell_length_c 6.1522
_cell_angle_alpha 90.00
_cell_angle_beta 90.00
_cell_angle_gamma 90.00
loop_
_space_group_symop_operation_xyz
'x,y,z'
'-x+1/2,-y,z+1/2'
'-x,y,z'
'x+1/2,-y,z+1/2'
loop_
_atom_site_label
_atom_site_fract_x
_atom_site_fract_y
_atom_site_fract_z
Tb1 0.0000 0.1298 0.0000
Tb2 0.0000 0.8687 0.4607
Tb3 0.2359 0.8714 0.8234
Tm1 0.0000 0.3686 0.4752
Tm2 0.2451 0.3830 0.8026
Tl1 0.0000 0.6135 0.9814
```

---

10.
First-principles (GGA-PBE) data for an optimized crystal structure of MgZnI, as listed in Alexandria via LeMat-Bulk.

Properties
**Energy**: -1.620 eV per atom
**ΔE_f (raw)**: -147 meV per atom

CIF file:
```
data_MgZnI
_space_group_name_H-M_alt 'A m m 2'
_space_group_IT_number 38
_cell_length_a 12.7771
_cell_length_b 4.0971
_cell_length_c 7.1986
_cell_angle_alpha 90.00
_cell_angle_beta 90.00
_cell_angle_gamma 90.00
loop_
_space_group_symop_operation_xyz
'x,y,z'
'-x,-y,z'
'-x,y,z'
'x,-y,z'
'x,y+1/2,z+1/2'
'-x,-y+1/2,z+1/2'
'-x,y+1/2,z+1/2'
'x,-y+1/2,z+1/2'
loop_
_atom_site_label
_atom_site_fract_x
_atom_site_fract_y
_atom_site_fract_z
Mg1 0.0000 0.0000 0.0000
Mg2 0.5000 0.0000 0.2065
Zn1 0.1102 0.0000 0.3286
I1 0.3542 0.0000 0.8747
```

---

11.
First-principles (GGA-PBE) data for an optimized crystal structure of Dy2Ni12Ge7, as listed in Alexandria via LeMat-Bulk.

Properties
**Energy**: -5.776 eV per atom
**Energy of formation**: -0.495 eV per atom

CIF file:
```
data_Dy2Ni12Ge7
_space_group_name_H-M_alt 'P -6'
_space_group_IT_number 174
_cell_length_a 9.4132
_cell_length_b 9.4132
_cell_length_c 3.7890
_cell_angle_alpha 90.00
_cell_angle_beta 90.00
_cell_angle_gamma 120.00
loop_
_space_group_symop_operation_xyz
'x,y,z'
'-x+y,-x,-z'
'-y,x-y,z'
'x,y,-z'
'-x+y,-x,z'
'-y,x-y,-z'
loop_
_atom_site_label
_atom_site_fract_x
_atom_site_fract_y
_atom_site_fract_z
Dy1 0.0000 0.0000 0.0000
Dy2 0.3333 0.6667 0.5000
Ni1 0.0374 0.2831 0.5000
Ni2 0.1154 0.7302 0.0000
Ni3 0.3844 0.1827 0.0000
Ni4 0.5557 0.4249 0.5000
Ge1 0.0614 0.4571 0.0000
Ge2 0.2612 0.2293 0.5000
Ge3 0.6667 0.3333 0.0000
```

---

12.
First-principles (GGA-PBE) data for an optimized crystal structure of AgRhSe2, as listed in Alexandria via LeMat-Bulk.

Properties
**Energy**: -4.383 eV per atom
**ΔE_f (raw)**: -90 meV per atom

CIF file:
```
data_AgRhSe2
_space_group_name_H-M_alt 'P 1 m 1'
_space_group_IT_number 6
_cell_length_a 4.5495
_cell_length_b 3.7461
_cell_length_c 5.2465
_cell_angle_alpha 90.00
_cell_angle_beta 101.92
_cell_angle_gamma 90.00
loop_
_space_group_symop_operation_xyz
'x,y,z'
'x,-y,z'
loop_
_atom_site_label
_atom_site_fract_x
_atom_site_fract_y
_atom_site_fract_z
Ag1 0.0000 0.0000 0.0000
Rh1 0.3056 0.5000 0.4158
Se1 0.4046 0.0000 0.7150
Se2 0.7720 0.5000 0.2737
```

---

no.,M_tot (μB/cell)
1,0.00
2,0.00
3,0.00
4,5.71
5,0.00
6,0.00
7,0.00
8,3.00
9,0.00
10,0.00
11,0.00
12,0.00